1.
Entry from the Alexandria database: a relaxed PmPr2Tm2Th2 crystal (PBE).

a = 3.469 Å, b = 8.209 Å, c = 8.810 Å
α = 86.93°, β = 90.00°, γ = 102.20°
Fractional coordinates of all 7 atoms:
Pr 0.680 0.360 0.833
Th 0.545 0.091 0.160
Pm 0.000 0.000 0.500
Pr 0.320 0.640 0.167
Tm 0.680 0.361 0.422
Tm 0.320 0.639 0.578
Th 0.455 0.909 0.840

Computed properties:
The energy of formation from the pure elements comes out at 0.34 eV/atom. The calculation puts the theoretical density at 8.33 Mg/m³. The calculation puts the total energy at -5.106 eV/atom.

2.
Entry from the Alexandria database: a relaxed PmPr2Tm4Th crystal (PBE).

a = 5.119 Å, b = 5.110 Å, c = 11.116 Å
α = 62.67°, β = 90.00°, γ = 90.00°
Fractional coordinates of all 8 atoms:
Tm 0.500 0.746 0.254
Tm 0.000 0.754 0.746
Pm 0.500 0.500 0.000
Th 0.000 0.500 0.500
Pr 0.000 0.000 0.000
Tm 0.500 0.254 0.746
Pr 0.500 0.000 0.500
Tm 0.000 0.246 0.254

Computed properties:
The energy of formation from the pure elements comes out at 0.03 eV/atom. The calculation puts the theoretical density at 8.58 Mg/m³. The calculation puts the total energy at -4.922 eV/atom.

3.
Entry from the Alexandria database: a relaxed PmPr3Tm6Th2 crystal (PBE).

a = 6.210 Å, b = 6.210 Å, c = 11.702 Å
α = 95.10°, β = 95.10°, γ = 119.99°
Fractional coordinates of all 12 atoms:
Th 0.667 0.333 0.000
Th 0.333 0.667 0.000
Pr 0.166 0.834 0.500
Tm 0.420 0.082 0.245
Tm 0.580 0.918 0.755
Tm 0.082 0.420 0.245
Tm 0.744 0.744 0.245
Tm 0.918 0.580 0.755
Pm 0.000 0.000 0.000
Pr 0.834 0.166 0.500
Pr 0.500 0.500 0.500
Tm 0.256 0.256 0.755

Computed properties:
The energy of formation from the pure elements comes out at 0.03 eV/atom. The calculation puts the theoretical density at 8.83 Mg/m³. The calculation puts the total energy at -5.038 eV/atom.